Entry 1:
## CaPm4Ir (PBE)

Data for a relaxed CaPm4Ir crystal.

```
CaPm4Ir
1.0
4.8794 0.0000 0.0000
0.0000 4.8794 0.0000
0.0000 0.0000 9.4806
Ca Pm Ir
1 4 1
Cartesian
0.0000 0.0000 0.0000
0.0000 2.4397 3.0515
0.0000 2.4397 6.4291
2.4397 0.0000 3.0515
2.4397 0.0000 6.4291
2.4397 2.4397 4.7403
```

The volume is 37.620 Å³/atom. The formation energy from the elements is -0.043 eV per atom. The density of states at the Fermi level comes out at 5.605 states/eV/cell. Its total energy is -5.021 eV/atom. As for the space-group type: P4/mmm, No. 123.



Entry 2:
## CaPm4Ir3 (PBE)

Data for a relaxed CaPm4Ir3 crystal.

```
CaPm4Ir3
1.0
-5.6829 5.6829 3.0152
5.6829 -5.6829 3.0152
5.6829 5.6829 -3.0152
Ca Pm Ir
2 8 6
Cartesian
5.6829 0.0000 1.5076
0.0000 5.6829 1.5076
8.9594 0.9550 0.0000
0.9550 2.4064 0.0000
6.6378 3.2765 0.0000
3.2765 4.7279 0.0000
2.4064 0.9550 3.0152
-0.9550 2.4064 3.0152
4.7279 3.2765 3.0152
-3.2765 4.7279 3.0152
3.8588 1.8241 0.0000
0.0000 0.0000 1.5076
3.8588 -1.8241 3.0152
1.8241 7.5070 0.0000
0.0000 0.0000 4.5227
1.8241 3.8588 3.0152
```

The volume is 24.344 Å³/atom. The formation energy from the elements is -0.536 eV per atom. The density of states at the Fermi level comes out at 10.319 states/eV/cell. Its total energy is -6.484 eV/atom. As for the space-group type: I4/mcm, No. 140.



Entry 3:
## Ca3Pm2Ir2 (PBE)

Data for a relaxed Ca3Pm2Ir2 crystal.

```
Ca3Pm2Ir2
1.0
12.6818 0.0000 0.0000
0.0000 4.0900 0.0000
-3.0039 0.0000 7.7980
Ca Pm Ir
6 4 4
Cartesian
0.0000 0.0000 0.0000
0.3787 0.0000 3.3628
2.9583 2.0450 4.4352
6.3409 2.0450 0.0000
6.7196 2.0450 3.3628
9.2992 0.0000 4.4352
-0.3123 2.0450 6.4138
3.6493 0.0000 1.3841
6.0286 0.0000 6.4138
9.9902 2.0450 1.3841
1.7422 2.0450 1.5229
1.5948 0.0000 6.2751
8.0831 0.0000 1.5229
7.9357 2.0450 6.2751
```

The volume is 28.891 Å³/atom. The formation energy from the elements is -0.443 eV per atom. The density of states at the Fermi level comes out at 5.075 states/eV/cell. Its total energy is -5.190 eV/atom. As for the space-group type: C2/m, No. 12.



Entry 4:
## CaPmIr2 (PBE)

Data for a relaxed CaPmIr2 crystal.

```
CaPmIr2
1.0
6.9334 0.0000 0.0000
0.0000 6.9334 0.0000
0.0000 0.0000 6.9334
Ca Pm Ir
4 4 8
Cartesian
0.0000 0.0000 0.0000
0.0000 3.4667 3.4667
3.4667 0.0000 3.4667
3.4667 3.4667 0.0000
0.0000 0.0000 3.4667
0.0000 3.4667 0.0000
3.4667 0.0000 0.0000
3.4667 3.4667 3.4667
1.7334 1.7334 1.7334
1.7334 1.7334 5.2001
1.7334 5.2001 1.7334
1.7334 5.2001 5.2001
5.2001 1.7334 1.7334
5.2001 1.7334 5.2001
5.2001 5.2001 1.7334
5.2001 5.2001 5.2001
```

The volume is 20.832 Å³/atom. The calculation puts the relative energy among the computed polymorphs at 0.000 eV per atom. The formation energy from the elements is -0.378 eV per atom. The density of states at the Fermi level comes out at 3.826 states/eV/cell. Its total energy is -6.497 eV/atom. As for the space-group type: Fm-3m, No. 225.



Entry 5:
## Ca2Pm3Ir2 (PBE)

Data for a relaxed Ca2Pm3Ir2 crystal.

```
Ca2Pm3Ir2
1.0
12.5213 0.0000 0.0000
0.0000 3.9604 0.0000
-4.1145 0.0000 8.1354
Ca Pm Ir
4 6 4
Cartesian
0.8657 0.0000 2.5032
1.2805 1.9802 5.6323
7.1263 1.9802 2.5032
7.5411 0.0000 5.6323
-2.0572 1.9802 4.0677
-2.3298 1.9802 7.5852
4.4760 0.0000 0.5503
4.2034 0.0000 4.0677
3.9308 0.0000 7.5852
10.7366 1.9802 0.5503
-0.9338 0.0000 6.0455
3.0800 1.9802 2.0900
5.3268 1.9802 6.0455
9.3406 0.0000 2.0900
```

The volume is 28.816 Å³/atom. The formation energy from the elements is -0.466 eV per atom. The density of states at the Fermi level comes out at 10.789 states/eV/cell. Its total energy is -5.606 eV/atom. As for the space-group type: C2/m, No. 12.



Entry 6:
## Ca3PmIr (PBE)

Data for a relaxed Ca3PmIr crystal.

```
Ca3PmIr
1.0
6.0118 -4.5866 0.0000
6.0118 4.5866 0.0000
-5.5092 0.0000 6.1152
Ca Pm Ir
6 2 2
Cartesian
-1.3433 0.0000 2.1598
1.9061 1.8015 1.1964
1.9061 -1.8015 1.1964
4.6082 1.8015 4.9188
4.6082 -1.8015 4.9188
7.8577 0.0000 3.9554
1.2348 0.0000 4.5770
5.2795 0.0000 1.5381
-1.6261 0.0000 5.3393
8.1405 0.0000 0.7759
```

The volume is 33.723 Å³/atom. The formation energy from the elements is -0.278 eV per atom. The density of states at the Fermi level comes out at 8.101 states/eV/cell. Its total energy is -4.202 eV/atom. As for the space-group type: C2/m, No. 12.